[1]
# Mg2Al2Zn (GGA-PBE, relaxed)
# Distance to the lowest polymorph of the same formula: 3 kJ/mol of formula units
# Formation enthalpy at 0 K: 0.03 eV per atom
# E_tot: -2.36 eV per atom
# Spin magnetization: 0.0 μB per formula unit
data_Mg2Al2Zn
_chemical_formula_sum 'Mg4 Al4 Zn2'
_symmetry_space_group_name_H-M 'P 4/m b m'
_symmetry_Int_Tables_number 127
_symmetry_space_group_name_Hall '-P 4 2ab'
_cell_length_a 6.651
_cell_length_b 6.651
_cell_length_c 4.437
_cell_angle_alpha 90.00
_cell_angle_beta 90.00
_cell_angle_gamma 90.00
loop_
_atom_site_label
_atom_site_fract_x
_atom_site_fract_y
_atom_site_fract_z
Mg1 0.165 0.335 0.000
Al1 0.139 0.639 0.500
Zn1 0.000 0.000 0.500


[2]
# SrLi4Rh (GGA-PBE, relaxed)
# Distance to the lowest polymorph of the same formula: 74 kJ/mol of formula units
# Formation enthalpy at 0 K: 0.06 eV per atom
# E_tot: -2.72 eV per atom
# Spin magnetization: 0.0 μB per formula unit
data_SrLi4Rh
_chemical_formula_sum 'Sr4 Li16 Rh4'
_symmetry_space_group_name_H-M 'F -4 3 m'
_symmetry_Int_Tables_number 216
_symmetry_space_group_name_Hall 'F -4 2 3'
_cell_length_a 7.715
_cell_length_b 7.715
_cell_length_c 7.715
_cell_angle_alpha 90.00
_cell_angle_beta 90.00
_cell_angle_gamma 90.00
loop_
_atom_site_label
_atom_site_fract_x
_atom_site_fract_y
_atom_site_fract_z
Sr1 0.000 0.000 0.000
Li1 0.121 0.121 0.621
Rh1 0.250 0.250 0.250


[3]
# Zr3Al4 (GGA-PBE, relaxed)
# Formation enthalpy at 0 K: -0.03 eV per atom
# E_tot: -5.83 eV per atom
# Spin magnetization: 0.0 μB per formula unit
data_Zr3Al4
_chemical_formula_sum 'Zr3 Al4'
_symmetry_space_group_name_H-M 'P 6/m m m'
_symmetry_Int_Tables_number 191
_symmetry_space_group_name_Hall '-P 6 2'
_cell_length_a 5.6520
_cell_length_b 5.6520
_cell_length_c 5.2143
_cell_angle_alpha 90.00
_cell_angle_beta 90.00
_cell_angle_gamma 120.00
loop_
_atom_site_label
_atom_site_fract_x
_atom_site_fract_y
_atom_site_fract_z
Zr1 0.0000 0.5000 0.0000
Al1 0.0000 0.0000 0.2495
Al2 0.3333 0.6667 0.5000


[4]
# SiHgRh2 (GGA-PBE, relaxed)
# Distance to the lowest polymorph of the same formula: 10 kJ/mol of formula units
# E_tot: -5.55 eV per atom
# Spin magnetization: 0.0 μB per formula unit
data_SiHgRh2
_chemical_formula_sum 'Si2 Hg2 Rh4'
_symmetry_space_group_name_H-M 'A m m 2'
_symmetry_Int_Tables_number 38
_cell_length_a 2.893
_cell_length_b 2.907
_cell_length_c 14.923
_cell_angle_alpha 90.00
_cell_angle_beta 90.00
_cell_angle_gamma 90.00
loop_
_symmetry_equiv_pos_as_xyz
'x,y,z'
'-x,-y,z'
'-x,y,z'
'x,-y,z'
'x,y+1/2,z+1/2'
'-x,-y+1/2,z+1/2'
'-x,y+1/2,z+1/2'
'x,-y+1/2,z+1/2'
loop_
_atom_site_label
_atom_site_fract_x
_atom_site_fract_y
_atom_site_fract_z
Si1 0.000 0.000 0.000
Hg1 0.000 0.000 0.243
Rh1 0.500 0.000 0.408
Rh2 0.500 0.000 0.595


[5]
# CeDyTe2 (GGA-PBE, relaxed)
# Distance to the lowest polymorph of the same formula: 0 kJ/mol of formula units
# E_tot: -5.54 eV per atom
# Spin magnetization: 1.2 μB per formula unit
data_CeDyTe2
_chemical_formula_sum 'Ce3 Dy3 Te6'
_symmetry_space_group_name_H-M 'R -3 m'
_symmetry_Int_Tables_number 166
_symmetry_space_group_name_Hall '-R 3 2"'
_cell_length_a 4.3841
_cell_length_b 4.3841
_cell_length_c 22.0372
_cell_angle_alpha 90.00
_cell_angle_beta 90.00
_cell_angle_gamma 120.00
loop_
_atom_site_label
_atom_site_fract_x
_atom_site_fract_y
_atom_site_fract_z
Ce1 0.0000 0.0000 0.0000
Dy1 0.0000 0.0000 0.5000
Te1 0.0000 0.0000 0.2462


[6]
# Na2LiGeP2 (GGA-PBE, relaxed)
# Formation enthalpy at 0 K: -0.36 eV per atom
# E_tot: -3.69 eV per atom
# Spin magnetization: 0.0 μB per formula unit
data_Na2LiGeP2
_chemical_formula_sum 'Na8 Li4 Ge4 P8'
_symmetry_space_group_name_H-M 'I b a m'
_symmetry_Int_Tables_number 72
_symmetry_space_group_name_Hall '-I 2 2c'
_cell_length_a 5.868
_cell_length_b 13.594
_cell_length_c 6.121
_cell_angle_alpha 90.00
_cell_angle_beta 90.00
_cell_angle_gamma 90.00
loop_
_atom_site_label
_atom_site_fract_x
_atom_site_fract_y
_atom_site_fract_z
Na1 0.232 0.179 0.000
Li1 0.000 0.000 0.250
Ge1 0.000 0.500 0.250
P1 0.233 0.396 0.000


[7]
# SmDy2Bi (GGA-PBE, relaxed)
# Distance to the lowest polymorph of the same formula: 33 kJ/mol of formula units
# Formation enthalpy at 0 K: -0.36 eV per atom
# E_tot: -4.81 eV per atom
# Spin magnetization: 0.0 μB per formula unit
data_SmDy2Bi
_chemical_formula_sum 'Sm1 Dy2 Bi1'
_symmetry_space_group_name_H-M 'P 4/m m m'
_symmetry_Int_Tables_number 123
_symmetry_space_group_name_Hall '-P 4 2'
_cell_length_a 4.902
_cell_length_b 4.902
_cell_length_c 4.869
_cell_angle_alpha 90.00
_cell_angle_beta 90.00
_cell_angle_gamma 90.00
loop_
_atom_site_label
_atom_site_fract_x
_atom_site_fract_y
_atom_site_fract_z
Sm1 0.000 0.000 0.000
Dy1 0.000 0.500 0.500
Bi1 0.500 0.500 0.000


[8]
# Sc2TaCdI (GGA-PBE, relaxed)
# E_tot: -4.16 eV per atom
# Spin magnetization: 2.0 μB per formula unit
data_Sc2TaCdI
_chemical_formula_sum 'Sc2 Ta1 Cd1 I1'
_symmetry_space_group_name_H-M 'P 4/m m m'
_symmetry_Int_Tables_number 123
_symmetry_space_group_name_Hall '-P 4 2'
_cell_length_a 5.181
_cell_length_b 5.181
_cell_length_c 5.384
_cell_angle_alpha 90.00
_cell_angle_beta 90.00
_cell_angle_gamma 90.00
loop_
_atom_site_label
_atom_site_fract_x
_atom_site_fract_y
_atom_site_fract_z
Sc1 0.000 0.500 0.000
Ta1 0.000 0.000 0.500
Cd1 0.500 0.500 0.500
I1 0.500 0.500 0.000


[9]
# MgPbW (GGA-PBE, relaxed)
# Distance to the lowest polymorph of the same formula: 34 kJ/mol of formula units
# Formation enthalpy at 0 K: 0.78 eV per atom
# E_tot: -5.30 eV per atom
# Spin magnetization: 0.0 μB per formula unit
data_MgPbW
_chemical_formula_sum 'Mg2 Pb2 W2'
_symmetry_space_group_name_H-M 'I 4 m m'
_symmetry_Int_Tables_number 107
_symmetry_space_group_name_Hall 'I 4 -2'
_cell_length_a 3.520
_cell_length_b 3.520
_cell_length_c 9.615
_cell_angle_alpha 90.00
_cell_angle_beta 90.00
_cell_angle_gamma 90.00
loop_
_atom_site_label
_atom_site_fract_x
_atom_site_fract_y
_atom_site_fract_z
Mg1 0.000 0.000 0.000
Pb1 0.000 0.000 0.685
W1 0.000 0.000 0.347


[10]
# Dy4GeI5 (GGA-PBE, relaxed)
# E_tot: -4.25 eV per atom
# Spin magnetization: 0.0 μB per formula unit
data_Dy4GeI5
_chemical_formula_sum 'Dy8 Ge2 I10'
_symmetry_space_group_name_H-M 'C 1 2/m 1'
_symmetry_Int_Tables_number 12
_cell_length_a 19.054
_cell_length_b 4.201
_cell_length_c 8.810
_cell_angle_alpha 90.00
_cell_angle_beta 102.51
_cell_angle_gamma 90.00
loop_
_symmetry_equiv_pos_as_xyz
'x,y,z'
'-x,-y,-z'
'-x,y,-z'
'x,-y,z'
'x+1/2,y+1/2,z'
'-x+1/2,-y+1/2,-z'
'-x+1/2,y+1/2,-z'
'x+1/2,-y+1/2,z'
loop_
_atom_site_label
_atom_site_fract_x
_atom_site_fract_y
_atom_site_fract_z
Dy1 0.000 0.000 0.211
Dy2 0.147 0.500 0.073
Ge1 0.000 0.500 0.000
I1 0.000 0.500 0.500
I2 0.166 0.000 0.335
I3 0.172 0.000 0.827


[11]
# Th2CdGe3Pd4 (GGA-PBE, relaxed)
# Formation enthalpy at 0 K: -0.72 eV per atom
# E_tot: -5.75 eV per atom
# Spin magnetization: 0.0 μB per formula unit
data_Th2CdGe3Pd4
_chemical_formula_sum 'Th2 Cd1 Ge3 Pd4'
_symmetry_space_group_name_H-M 'P -4 m 2'
_symmetry_Int_Tables_number 115
_cell_length_a 4.274
_cell_length_b 4.274
_cell_length_c 10.882
_cell_angle_alpha 90.00
_cell_angle_beta 90.00
_cell_angle_gamma 90.00
loop_
_symmetry_equiv_pos_as_xyz
'x,y,z'
'y,-x,-z'
'-x,-y,z'
'-y,x,-z'
'-x,y,z'
'-y,-x,-z'
'x,-y,z'
'y,x,-z'
loop_
_atom_site_label
_atom_site_fract_x
_atom_site_fract_y
_atom_site_fract_z
Th1 0.000 0.500 0.237
Cd1 0.000 0.000 0.500
Ge1 0.000 0.500 0.873
Ge2 0.500 0.500 0.500
Pd1 0.000 0.000 0.000
Pd2 0.000 0.500 0.650
Pd3 0.500 0.500 0.000


[12]
# Ge2Sb2Te (GGA-PBE, relaxed)
# Distance to the lowest polymorph of the same formula: 0 kJ/mol of formula units
# E_tot: -3.88 eV per atom
# Spin magnetization: 0.0 μB per formula unit
data_Ge2Sb2Te
_chemical_formula_sum 'Ge4 Sb4 Te2'
_symmetry_space_group_name_H-M 'I 4/m m m'
_symmetry_Int_Tables_number 139
_symmetry_space_group_name_Hall '-I 4 2'
_cell_length_a 4.237
_cell_length_b 4.237
_cell_length_c 15.001
_cell_angle_alpha 90.00
_cell_angle_beta 90.00
_cell_angle_gamma 90.00
loop_
_atom_site_label
_atom_site_fract_x
_atom_site_fract_y
_atom_site_fract_z
Ge1 0.000 0.000 0.090
Sb1 0.000 0.500 0.250
Te1 0.000 0.000 0.500


[13]
# Sc3Cu2Pt (GGA-PBE, relaxed)
# Formation enthalpy at 0 K: -0.64 eV per atom
# E_tot: -6.17 eV per atom
# Spin magnetization: 0.0 μB per formula unit
data_Sc3Cu2Pt
_chemical_formula_sum 'Sc6 Cu4 Pt2'
_symmetry_space_group_name_H-M 'P -3 m 1'
_symmetry_Int_Tables_number 164
_symmetry_space_group_name_Hall '-P 3 2"'
_cell_length_a 4.6224
_cell_length_b 4.6224
_cell_length_c 11.3761
_cell_angle_alpha 90.00
_cell_angle_beta 90.00
_cell_angle_gamma 120.00
loop_
_atom_site_label
_atom_site_fract_x
_atom_site_fract_y
_atom_site_fract_z
Sc1 0.0000 0.0000 0.2494
Sc2 0.3333 0.6667 0.4155
Sc3 0.3333 0.6667 0.9163
Cu1 0.0000 0.0000 0.0000
Cu2 0.0000 0.0000 0.5000
Cu3 0.3333 0.6667 0.1605
Pt1 0.3333 0.6667 0.6645


[14]
# Y2MnGe (GGA-PBE, relaxed)
# Formation enthalpy at 0 K: -0.28 eV per atom
# E_tot: -6.96 eV per atom
# Spin magnetization: 1.3 μB per formula unit
data_Y2MnGe
_chemical_formula_sum 'Y8 Mn4 Ge4'
_symmetry_space_group_name_H-M 'C 1 m 1'
_symmetry_Int_Tables_number 8
_cell_length_a 9.218
_cell_length_b 5.477
_cell_length_c 7.232
_cell_angle_alpha 90.00
_cell_angle_beta 105.33
_cell_angle_gamma 90.00
loop_
_symmetry_equiv_pos_as_xyz
'x,y,z'
'x,-y,z'
'x+1/2,y+1/2,z'
'x+1/2,-y+1/2,z'
loop_
_atom_site_label
_atom_site_fract_x
_atom_site_fract_y
_atom_site_fract_z
Y1 0.000 0.000 0.000
Y2 0.034 0.500 0.313
Y3 0.318 0.000 0.784
Y4 0.409 0.500 0.485
Mn1 0.252 0.294 0.110
Ge1 0.161 0.500 0.771
Ge2 0.224 0.000 0.369


[15]
# CrNiN (GGA-PBE, relaxed)
# Distance to the lowest polymorph of the same formula: 3 kJ/mol of formula units
# E_tot: -7.88 eV per atom
# Spin magnetization: 0.6 μB per formula unit
data_CrNiN
_chemical_formula_sum 'Cr2 Ni2 N2'
_symmetry_space_group_name_H-M 'P -6 m 2'
_symmetry_Int_Tables_number 187
_symmetry_space_group_name_Hall 'P -6 2'
_cell_length_a 2.6849
_cell_length_b 2.6849
_cell_length_c 9.0967
_cell_angle_alpha 90.00
_cell_angle_beta 90.00
_cell_angle_gamma 120.00
loop_
_atom_site_label
_atom_site_fract_x
_atom_site_fract_y
_atom_site_fract_z
Cr1 0.0000 0.0000 0.1354
Ni1 0.6667 0.3333 0.3669
N1 0.0000 0.0000 0.5000
N2 0.6667 0.3333 0.0000


[16]
# Al2SbOs (GGA-PBE, relaxed)
# E_tot: -5.64 eV per atom
# Spin magnetization: 0.0 μB per formula unit
data_Al2SbOs
_chemical_formula_sum 'Al4 Sb2 Os2'
_symmetry_space_group_name_H-M 'A m m 2'
_symmetry_Int_Tables_number 38
_cell_length_a 4.573
_cell_length_b 3.338
_cell_length_c 9.870
_cell_angle_alpha 90.00
_cell_angle_beta 90.00
_cell_angle_gamma 90.00
loop_
_symmetry_equiv_pos_as_xyz
'x,y,z'
'-x,-y,z'
'-x,y,z'
'x,-y,z'
'x,y+1/2,z+1/2'
'-x,-y+1/2,z+1/2'
'-x,y+1/2,z+1/2'
'x,-y+1/2,z+1/2'
loop_
_atom_site_label
_atom_site_fract_x
_atom_site_fract_y
_atom_site_fract_z
Al1 0.000 0.000 0.000
Al2 0.500 0.000 0.440
Sb1 0.000 0.000 0.270
Os1 0.500 0.000 0.123


[17]
# TlReS2 (GGA-PBE, relaxed)
# Distance to the lowest polymorph of the same formula: 34 kJ/mol of formula units
# E_tot: -5.83 eV per atom
# Spin magnetization: 0.0 μB per formula unit
data_TlReS2
_chemical_formula_sum 'Tl4 Re4 S8'
_symmetry_space_group_name_H-M 'I -4 2 d'
_symmetry_Int_Tables_number 122
_symmetry_space_group_name_Hall 'I -4 2bw'
_cell_length_a 7.138
_cell_length_b 7.138
_cell_length_c 7.859
_cell_angle_alpha 90.00
_cell_angle_beta 90.00
_cell_angle_gamma 90.00
loop_
_atom_site_label
_atom_site_fract_x
_atom_site_fract_y
_atom_site_fract_z
Tl1 0.000 0.000 0.000
Re1 0.000 0.000 0.500
S1 0.135 0.250 0.625


[18]
# PaBi2O4 (GGA-PBE, relaxed)
# E_tot: -7.26 eV per atom
# Spin magnetization: 0.0 μB per formula unit
data_PaBi2O4
_chemical_formula_sum 'Pa2 Bi4 O8'
_symmetry_space_group_name_H-M 'C m m m'
_symmetry_Int_Tables_number 65
_symmetry_space_group_name_Hall '-C 2 2'
_cell_length_a 3.878
_cell_length_b 17.125
_cell_length_c 3.787
_cell_angle_alpha 90.00
_cell_angle_beta 90.00
_cell_angle_gamma 90.00
loop_
_atom_site_label
_atom_site_fract_x
_atom_site_fract_y
_atom_site_fract_z
Pa1 0.000 0.000 0.000
Bi1 0.000 0.335 0.500
O1 0.000 0.074 0.500
O2 0.000 0.422 0.000


[19]
# ZrBPb2 (GGA-PBE, relaxed)
# Formation enthalpy at 0 K: 0.67 eV per atom
# E_tot: -4.99 eV per atom
# Spin magnetization: 0.0 μB per formula unit
data_ZrBPb2
_chemical_formula_sum 'Zr4 B4 Pb8'
_symmetry_space_group_name_H-M 'I -4 2 d'
_symmetry_Int_Tables_number 122
_symmetry_space_group_name_Hall 'I -4 2bw'
_cell_length_a 7.400
_cell_length_b 7.400
_cell_length_c 6.320
_cell_angle_alpha 90.00
_cell_angle_beta 90.00
_cell_angle_gamma 90.00
loop_
_atom_site_label
_atom_site_fract_x
_atom_site_fract_y
_atom_site_fract_z
Zr1 0.000 0.000 0.000
B1 0.000 0.000 0.500
Pb1 0.183 0.250 0.625


[20]
# Tb2Dy6Zn (GGA-PBE, relaxed)
# Formation enthalpy at 0 K: 0.02 eV per atom
# E_tot: -4.21 eV per atom
# Spin magnetization: 0.0 μB per formula unit
data_Tb2Dy6Zn
_chemical_formula_sum 'Tb4 Dy12 Zn2'
_symmetry_space_group_name_H-M 'P n n m'
_symmetry_Int_Tables_number 58
_cell_length_a 9.867
_cell_length_b 10.128
_cell_length_c 5.350
_cell_angle_alpha 90.00
_cell_angle_beta 90.00
_cell_angle_gamma 90.00
loop_
_symmetry_equiv_pos_as_xyz
'x,y,z'
'-x,-y,-z'
'-x,-y,z'
'x,y,-z'
'x+1/2,-y+1/2,-z+1/2'
'-x+1/2,y+1/2,z+1/2'
'-x+1/2,y+1/2,-z+1/2'
'x+1/2,-y+1/2,z+1/2'
loop_
_atom_site_label
_atom_site_fract_x
_atom_site_fract_y
_atom_site_fract_z
Tb1 0.200 0.235 0.000
Dy1 0.026 0.313 0.500
Dy2 0.130 0.889 0.000
Dy3 0.187 0.561 0.000
Zn1 0.000 0.000 0.500